The following is a GGA-PBEsol calculation of a geometry-optimized TiCo3Sn structure, from Alexandria.

The structure belongs to space group Pm-3m (No. 221); the cell edges are 4.223, 4.223 and 4.223 Å and the angles 90.00°, 90.00° and 90.00°. The asymmetric unit holds Ti at (0.000, 0.000, 0.000), Co at (0.000, 0.000, 0.500) and Sn at (0.500, 0.500, 0.500).

The calculation puts the energy of formation from the pure elements at 855 meV per atom. The value obtained for the calculated volume is 15.1 Å³ per atom.

The following is a GGA-PBEsol calculation of a geometry-optimized LiInTc2 structure, from Alexandria.

The structure belongs to space group Pmmm (No. 47); the cell edges are 2.758, 4.359 and 5.063 Å and the angles 90.00°, 90.00° and 90.00°. The asymmetric unit holds Li at (0.000, 0.000, 0.000), In at (0.000, 0.000, 0.500) and Tc at (0.500, 0.500, 0.225).

The calculation puts the energy of formation from the pure elements at 356 meV per atom. The value obtained for the calculated volume is 15.2 Å³ per atom.

The following is a GGA-PBEsol calculation of a geometry-optimized BeNiP2S structure, from Alexandria.

The structure belongs to space group P4/mmm (No. 123); the cell edges are 4.195, 4.195 and 4.707 Å and the angles 90.00°, 90.00° and 90.00°. The asymmetric unit holds Be at (0.000, 0.000, 0.000), Ni at (0.500, 0.500, 0.500), P at (0.000, 0.500, 0.500) and S at (0.500, 0.500, 0.000).

The value obtained for the calculated volume is 16.6 Å³ per atom. The energy relative to the elements, uncorrected comes out at 0.825 eV/atom.

The following is a GGA-PBEsol calculation of a geometry-optimized TlCuI2O structure, from Alexandria.

The structure belongs to space group P4/mmm (No. 123); the cell edges are 5.971, 5.971 and 3.993 Å and the angles 90.00°, 90.00° and 90.00°. The asymmetric unit holds Tl at (0.000, 0.000, 0.000), Cu at (0.500, 0.500, 0.500), I at (0.000, 0.500, 0.000) and O at (0.000, 0.000, 0.500).

The value obtained for the calculated volume is 28.5 Å³ per atom. The energy relative to the elements, uncorrected comes out at 0.389 eV/atom.

Q: calculated volume of number 1 (TiCo3Sn)?
A: 15.1 Å³ per atom

Q: Number 1 is which compound?
A: TiCo3Sn

Q: What is the calculated volume in the first record?
A: 15.1 Å³ per atom

Q: The highest calculated volume belongs to which entry?
A: TlCuI2O